# PBE Ir7Ru2Pt2, relaxed
data_Ir7Ru2Pt2
_chemical_formula_sum 'Ir7 Ru2 Pt2'
_space_group_name_H-M_alt 'P 1'
_space_group_IT_number 1
_cell_length_a 5.102
_cell_length_b 5.102
_cell_length_c 6.509
_cell_angle_alpha 97.01
_cell_angle_beta 97.01
_cell_angle_gamma 91.93
loop_
_space_group_symop_operation_xyz
'x,y,z'
loop_
_atom_site_label
_atom_site_type_symbol
_atom_site_fract_x
_atom_site_fract_y
_atom_site_fract_z
_atom_site_occupancy
Ir1 Ir 0.000 0.000 0.000 1
Ir2 Ir 0.083 0.465 0.803 1
Ir3 Ir 0.164 0.164 0.432 1
Ir4 Ir 0.465 0.083 0.803 1
Ir5 Ir 0.535 0.917 0.197 1
Ir6 Ir 0.836 0.836 0.568 1
Ir7 Ir 0.917 0.535 0.197 1
Ru1 Ru 0.310 0.690 0.500 1
Ru2 Ru 0.690 0.310 0.500 1
Pt1 Pt 0.400 0.400 0.155 1
Pt2 Pt 0.600 0.600 0.845 1
# - DOS at the Fermi energy: 13.2 states/eV per cell
# - Formation energy: 0.30 eV/atom
# - Calculated total energy: -0.59741 Ry/atom
# - Volume: 166.7 Å³/f.u.
# - SG: C2/m